(1)
Li2Mg2Ag | GGA-PBE | relaxed

Structure (CIF):
```
data_Li2Mg2Ag
_chemical_formula_sum 'Li4 Mg4 Ag2'
_symmetry_space_group_name_H-M 'P 4/m b m'
_symmetry_Int_Tables_number 127
_symmetry_space_group_name_Hall '-P 4 2ab'
_cell_length_a 7.198
_cell_length_b 7.198
_cell_length_c 3.983
_cell_angle_alpha 90.00
_cell_angle_beta 90.00
_cell_angle_gamma 90.00
loop_
_atom_site_label
_atom_site_fract_x
_atom_site_fract_y
_atom_site_fract_z
Li1 0.161 0.339 0.000
Mg1 0.145 0.645 0.500
Ag1 0.000 0.000 0.500
```

The calculation puts the formation energy at 0.0147 eV/atom. The offset from the most stable computed form comes out at 184 meV/atom. The calculation puts the total energy at -1.959 eV per atom. The crystal system is tetragonal.



(2)
CsCd2Ni2 | GGA-PBE | relaxed

Structure (CIF):
```
data_CsCd2Ni2
_chemical_formula_sum 'Cs2 Cd4 Ni4'
_symmetry_space_group_name_H-M 'I 4/m m m'
_symmetry_Int_Tables_number 139
_symmetry_space_group_name_Hall '-I 4 2'
_cell_length_a 4.619
_cell_length_b 4.619
_cell_length_c 11.052
_cell_angle_alpha 90.00
_cell_angle_beta 90.00
_cell_angle_gamma 90.00
loop_
_atom_site_label
_atom_site_fract_x
_atom_site_fract_y
_atom_site_fract_z
Cs1 0.000 0.000 0.000
Cd1 0.000 0.500 0.250
Ni1 0.000 0.000 0.391
```

The calculation puts the formation energy at 0.3902 eV/atom. The calculation puts the total energy at -2.459 eV per atom. The crystal system is tetragonal.



(3)
SrLaGa | GGA-PBE | relaxed

Structure (CIF):
```
data_SrLaGa
_chemical_formula_sum 'Sr2 La2 Ga2'
_symmetry_space_group_name_H-M 'I 4 m m'
_symmetry_Int_Tables_number 107
_symmetry_space_group_name_Hall 'I 4 -2'
_cell_length_a 3.833
_cell_length_b 3.833
_cell_length_c 14.163
_cell_angle_alpha 90.00
_cell_angle_beta 90.00
_cell_angle_gamma 90.00
loop_
_atom_site_label
_atom_site_fract_x
_atom_site_fract_y
_atom_site_fract_z
Sr1 0.000 0.000 0.000
La1 0.000 0.000 0.261
Ga1 0.000 0.000 0.646
```

The calculation puts the formation energy at -0.2870 eV/atom. The offset from the most stable computed form comes out at 82 meV/atom. The calculation puts the total energy at -3.499 eV per atom. The crystal system is tetragonal.



(4)
LiHfRe2Rh | GGA-PBE | relaxed

Structure (CIF):
```
data_LiHfRe2Rh
_chemical_formula_sum 'Li1 Hf1 Re2 Rh1'
_symmetry_space_group_name_H-M 'P 4/m m m'
_symmetry_Int_Tables_number 123
_symmetry_space_group_name_Hall '-P 4 2'
_cell_length_a 4.135
_cell_length_b 4.135
_cell_length_c 4.447
_cell_angle_alpha 90.00
_cell_angle_beta 90.00
_cell_angle_gamma 90.00
loop_
_atom_site_label
_atom_site_fract_x
_atom_site_fract_y
_atom_site_fract_z
Li1 0.000 0.000 0.000
Hf1 0.000 0.000 0.500
Re1 0.000 0.500 0.000
Rh1 0.500 0.500 0.500
```

The calculation puts the formation energy at 0.9745 eV/atom. The calculation puts the total energy at -7.849 eV per atom. The crystal system is tetragonal.



(5)
La3HgOs | GGA-PBE | relaxed

Structure (CIF):
```
data_La3HgOs
_chemical_formula_sum 'La3 Hg1 Os1'
_symmetry_space_group_name_H-M 'P m -3 m'
_symmetry_Int_Tables_number 221
_symmetry_space_group_name_Hall '-P 4 2 3'
_cell_length_a 5.577
_cell_length_b 5.577
_cell_length_c 5.577
_cell_angle_alpha 90.00
_cell_angle_beta 90.00
_cell_angle_gamma 90.00
loop_
_atom_site_label
_atom_site_fract_x
_atom_site_fract_y
_atom_site_fract_z
La1 0.000 0.000 0.500
Hg1 0.500 0.500 0.500
Os1 0.000 0.000 0.000
```

The calculation puts the formation energy at -0.1639 eV/atom. The offset from the most stable computed form comes out at 137 meV/atom. The calculation puts the total energy at -5.427 eV per atom. The crystal system is cubic.



(6)
CaPd4Pb2 | GGA-PBE | relaxed

Structure (CIF):
```
data_CaPd4Pb2
_chemical_formula_sum 'Ca4 Pd16 Pb8'
_symmetry_space_group_name_H-M 'C m c e'
_symmetry_Int_Tables_number 64
_symmetry_space_group_name_Hall '-C 2ac 2'
_cell_length_a 10.620
_cell_length_b 5.699
_cell_length_c 9.511
_cell_angle_alpha 90.00
_cell_angle_beta 90.00
_cell_angle_gamma 90.00
loop_
_atom_site_label
_atom_site_fract_x
_atom_site_fract_y
_atom_site_fract_z
Ca1 0.000 0.000 0.000
Pd1 0.000 0.007 0.297
Pd2 0.250 0.248 0.750
Pb1 0.180 0.000 0.500
```

The calculation puts the formation energy at -0.3305 eV/atom. The offset from the most stable computed form comes out at 35 meV/atom. The calculation puts the total energy at -4.643 eV per atom. The crystal system is orthorhombic.



(7)
TmPd12Pt7 | GGA-PBE | relaxed

Structure (CIF):
```
data_TmPd12Pt7
_chemical_formula_sum 'Tm3 Pd36 Pt21'
_symmetry_space_group_name_H-M 'R -3 m'
_symmetry_Int_Tables_number 166
_symmetry_space_group_name_Hall '-R 3 2"'
_cell_length_a 10.7707
_cell_length_b 10.7707
_cell_length_c 9.5961
_cell_angle_alpha 90.00
_cell_angle_beta 90.00
_cell_angle_gamma 120.00
loop_
_atom_site_label
_atom_site_fract_x
_atom_site_fract_y
_atom_site_fract_z
Tm1 0.0000 0.0000 0.0000
Pd1 0.0000 0.2628 0.0000
Pd2 0.0450 0.5225 0.1262
Pt1 0.0000 0.0000 0.5000
Pt2 0.0849 0.1697 0.7474
```

The calculation puts the formation energy at -0.1070 eV/atom. The calculation puts the total energy at -5.561 eV per atom. The crystal system is trigonal.



(8)
TcOsSeBr2 | GGA-PBE | relaxed

Structure (CIF):
```
data_TcOsSeBr2
_chemical_formula_sum 'Tc1 Os1 Se1 Br2'
_symmetry_space_group_name_H-M 'P 4/m m m'
_symmetry_Int_Tables_number 123
_symmetry_space_group_name_Hall '-P 4 2'
_cell_length_a 5.189
_cell_length_b 5.189
_cell_length_c 4.721
_cell_angle_alpha 90.00
_cell_angle_beta 90.00
_cell_angle_gamma 90.00
loop_
_atom_site_label
_atom_site_fract_x
_atom_site_fract_y
_atom_site_fract_z
Tc1 0.000 0.000 0.000
Os1 0.500 0.500 0.500
Se1 0.500 0.500 0.000
Br1 0.000 0.500 0.500
```

The calculation puts the formation energy without anion corrections at 1.18 eV/atom. The offset from the most stable computed form comes out at 0 meV/atom. The calculation puts the total energy at -4.508 eV per atom. The crystal system is tetragonal.



(9)
Pr2Y3Er3 | GGA-PBE | relaxed

Structure (CIF):
```
data_Pr2Y3Er3
_chemical_formula_sum 'Pr4 Y6 Er6'
_symmetry_space_group_name_H-M 'I m m m'
_symmetry_Int_Tables_number 71
_symmetry_space_group_name_Hall '-I 2 2'
_cell_length_a 5.081
_cell_length_b 5.082
_cell_length_c 20.191
_cell_angle_alpha 90.00
_cell_angle_beta 90.00
_cell_angle_gamma 90.00
loop_
_atom_site_label
_atom_site_fract_x
_atom_site_fract_y
_atom_site_fract_z
Pr1 0.000 0.000 0.250
Y1 0.000 0.000 0.000
Y2 0.000 0.500 0.123
Er1 0.000 0.000 0.500
Er2 0.000 0.500 0.377
```

The calculation puts the formation energy at 0.0280 eV/atom. The offset from the most stable computed form comes out at 27 meV/atom. The calculation puts the total energy at -5.302 eV per atom. The crystal system is orthorhombic.



(10)
SiPbO3 | GGA-PBE | relaxed

Structure (CIF):
```
data_SiPbO3
_chemical_formula_sum 'Si1 Pb1 O3'
_symmetry_space_group_name_H-M 'P m -3 m'
_symmetry_Int_Tables_number 221
_symmetry_space_group_name_Hall '-P 4 2 3'
_cell_length_a 3.714
_cell_length_b 3.714
_cell_length_c 3.714
_cell_angle_alpha 90.00
_cell_angle_beta 90.00
_cell_angle_gamma 90.00
loop_
_atom_site_label
_atom_site_fract_x
_atom_site_fract_y
_atom_site_fract_z
Si1 0.000 0.000 0.000
Pb1 0.500 0.500 0.500
O1 0.000 0.000 0.500
```

The calculation puts the formation energy without anion corrections at -1.75 eV/atom. The calculation puts the total energy at -6.549 eV per atom. The crystal system is cubic.



(11)
LaOs2Ru | GGA-PBE | relaxed

Structure (CIF):
```
data_LaOs2Ru
_chemical_formula_sum 'La1 Os2 Ru1'
_symmetry_space_group_name_H-M 'P 4 m m'
_symmetry_Int_Tables_number 99
_cell_length_a 2.934
_cell_length_b 2.934
_cell_length_c 8.179
_cell_angle_alpha 90.00
_cell_angle_beta 90.00
_cell_angle_gamma 90.00
loop_
_symmetry_equiv_pos_as_xyz
'x,y,z'
'-y,x,z'
'-x,-y,z'
'y,-x,z'
'-x,y,z'
'y,x,z'
'x,-y,z'
'-y,-x,z'
loop_
_atom_site_label
_atom_site_fract_x
_atom_site_fract_y
_atom_site_fract_z
La1 0.000 0.000 0.000
Os1 0.000 0.000 0.499
Os2 0.500 0.500 0.298
Ru1 0.500 0.500 0.705
```

The calculation puts the formation energy at 0.3230 eV/atom. The offset from the most stable computed form comes out at 0 meV/atom. The calculation puts the total energy at -8.843 eV per atom. The crystal system is tetragonal.



(12)
BaH3Rh | GGA-PBE | relaxed

Structure (CIF):
```
data_BaH3Rh
_chemical_formula_sum 'Ba6 H18 Rh6'
_symmetry_space_group_name_H-M 'R -3 c'
_symmetry_Int_Tables_number 167
_symmetry_space_group_name_Hall '-R 3 2"c'
_cell_length_a 6.5929
_cell_length_b 6.5929
_cell_length_c 12.1453
_cell_angle_alpha 90.00
_cell_angle_beta 90.00
_cell_angle_gamma 120.00
loop_
_atom_site_label
_atom_site_fract_x
_atom_site_fract_y
_atom_site_fract_z
Ba1 0.0000 0.0000 0.0000
H1 0.0000 0.2494 0.2500
Rh1 0.0000 0.0000 0.2500
```

The calculation puts the total energy at -3.961 eV per atom. The crystal system is trigonal.



(13)
BeCd2Sn | GGA-PBE | relaxed

Structure (CIF):
```
data_BeCd2Sn
_chemical_formula_sum 'Be3 Cd6 Sn3'
_symmetry_space_group_name_H-M 'R -3 m'
_symmetry_Int_Tables_number 166
_symmetry_space_group_name_Hall '-R 3 2"'
_cell_length_a 3.1008
_cell_length_b 3.1008
_cell_length_c 32.6861
_cell_angle_alpha 90.00
_cell_angle_beta 90.00
_cell_angle_gamma 120.00
loop_
_atom_site_label
_atom_site_fract_x
_atom_site_fract_y
_atom_site_fract_z
Be1 0.0000 0.0000 0.0000
Cd1 0.0000 0.0000 0.0764
Sn1 0.0000 0.0000 0.5000
```

The calculation puts the formation energy at 0.5358 eV/atom. The offset from the most stable computed form comes out at 143 meV/atom. The calculation puts the total energy at -1.854 eV per atom. The crystal system is trigonal.



(14)
KAg3Bi | GGA-PBE | relaxed

Structure (CIF):
```
data_KAg3Bi
_chemical_formula_sum 'K1 Ag3 Bi1'
_symmetry_space_group_name_H-M 'P m -3 m'
_symmetry_Int_Tables_number 221
_symmetry_space_group_name_Hall '-P 4 2 3'
_cell_length_a 5.594
_cell_length_b 5.594
_cell_length_c 5.594
_cell_angle_alpha 90.00
_cell_angle_beta 90.00
_cell_angle_gamma 90.00
loop_
_atom_site_label
_atom_site_fract_x
_atom_site_fract_y
_atom_site_fract_z
K1 0.000 0.000 0.000
Ag1 0.000 0.500 0.500
Bi1 0.500 0.500 0.500
```

The calculation puts the formation energy at 0.1930 eV/atom. The offset from the most stable computed form comes out at 0 meV/atom. The calculation puts the total energy at -2.513 eV per atom. The crystal system is cubic.



(15)
Ba2TaRh | GGA-PBE | relaxed

Structure (CIF):
```
data_Ba2TaRh
_chemical_formula_sum 'Ba4 Ta2 Rh2'
_symmetry_space_group_name_H-M 'I m m m'
_symmetry_Int_Tables_number 71
_symmetry_space_group_name_Hall '-I 2 2'
_cell_length_a 3.566
_cell_length_b 3.869
_cell_length_c 19.463
_cell_angle_alpha 90.00
_cell_angle_beta 90.00
_cell_angle_gamma 90.00
loop_
_atom_site_label
_atom_site_fract_x
_atom_site_fract_y
_atom_site_fract_z
Ba1 0.000 0.000 0.148
Ta1 0.000 0.500 0.000
Rh1 0.000 0.500 0.500
```

The calculation puts the formation energy at 0.2595 eV/atom. The offset from the most stable computed form comes out at 57 meV/atom. The calculation puts the total energy at -5.503 eV per atom. The crystal system is orthorhombic.



(16)
AcPu2Ge2 | GGA-PBE | relaxed

Structure (CIF):
```
data_AcPu2Ge2
_chemical_formula_sum 'Ac4 Pu8 Ge8'
_symmetry_space_group_name_H-M 'C m c 21'
_symmetry_Int_Tables_number 36
_cell_length_a 4.651
_cell_length_b 13.729
_cell_length_c 8.483
_cell_angle_alpha 90.00
_cell_angle_beta 90.00
_cell_angle_gamma 90.00
loop_
_symmetry_equiv_pos_as_xyz
'x,y,z'
'-x,-y,z+1/2'
'-x,y,z'
'x,-y,z+1/2'
'x+1/2,y+1/2,z'
'-x+1/2,-y+1/2,z+1/2'
'-x+1/2,y+1/2,z'
'x+1/2,-y+1/2,z+1/2'
loop_
_atom_site_label
_atom_site_fract_x
_atom_site_fract_y
_atom_site_fract_z
Ac1 0.000 0.085 0.000
Pu1 0.000 0.179 0.604
Pu2 0.000 0.356 0.891
Ge1 0.000 0.268 0.291
Ge2 0.000 0.463 0.204
```

The calculation puts the formation energy at -0.3989 eV/atom. The offset from the most stable computed form comes out at 0 meV/atom. The calculation puts the total energy at -8.800 eV per atom. The crystal system is orthorhombic.



(17)
Rb2NbPF6 | GGA-PBE | relaxed

Structure (CIF):
```
data_Rb2NbPF6
_chemical_formula_sum 'Rb4 Nb2 P2 F12'
_symmetry_space_group_name_H-M 'I 4/m m m'
_symmetry_Int_Tables_number 139
_symmetry_space_group_name_Hall '-I 4 2'
_cell_length_a 5.925
_cell_length_b 5.925
_cell_length_c 11.254
_cell_angle_alpha 90.00
_cell_angle_beta 90.00
_cell_angle_gamma 90.00
loop_
_atom_site_label
_atom_site_fract_x
_atom_site_fract_y
_atom_site_fract_z
Rb1 0.000 0.500 0.250
Nb1 0.000 0.000 0.000
P1 0.000 0.000 0.500
F1 0.000 0.000 0.184
F2 0.246 0.246 0.500
```

The calculation puts the formation energy without anion corrections at -2.15 eV/atom. The calculation puts the total energy at -5.013 eV per atom. The crystal system is tetragonal.



(18)
V2GaCl | GGA-PBE | relaxed

Structure (CIF):
```
data_V2GaCl
_chemical_formula_sum 'V8 Ga4 Cl4'
_symmetry_space_group_name_H-M 'I -4 2 d'
_symmetry_Int_Tables_number 122
_symmetry_space_group_name_Hall 'I -4 2bw'
_cell_length_a 3.780
_cell_length_b 3.780
_cell_length_c 17.848
_cell_angle_alpha 90.00
_cell_angle_beta 90.00
_cell_angle_gamma 90.00
loop_
_atom_site_label
_atom_site_fract_x
_atom_site_fract_y
_atom_site_fract_z
V1 0.241 0.250 0.125
Ga1 0.000 0.000 0.500
Cl1 0.000 0.000 0.000
```

The calculation puts the formation energy without anion corrections at 0.46 eV/atom. The offset from the most stable computed form comes out at 98 meV/atom. The calculation puts the total energy at -5.316 eV per atom. The crystal system is tetragonal.



(19)
Ac2MgSi3Pt12 | GGA-PBE | relaxed

Structure (CIF):
```
data_Ac2MgSi3Pt12
_chemical_formula_sum 'Ac6 Mg3 Si9 Pt36'
_symmetry_space_group_name_H-M 'R -3 m'
_symmetry_Int_Tables_number 166
_symmetry_space_group_name_Hall '-R 3 2"'
_cell_length_a 8.3531
_cell_length_b 8.3531
_cell_length_c 18.2797
_cell_angle_alpha 90.00
_cell_angle_beta 90.00
_cell_angle_gamma 120.00
loop_
_atom_site_label
_atom_site_fract_x
_atom_site_fract_y
_atom_site_fract_z
Ac1 0.0000 0.0000 0.1131
Mg1 0.0000 0.0000 0.5000
Si1 0.0000 0.5000 0.0000
Pt1 0.0001 0.5000 0.1271
Pt2 0.0351 0.5175 0.3662
```

The calculation puts the formation energy without anion corrections at -0.56 eV/atom. The calculation puts the total energy at -6.041 eV per atom. The crystal system is trigonal.



(20)
VInSe4 | GGA-PBE | relaxed

Structure (CIF):
```
data_VInSe4
_chemical_formula_sum 'V2 In2 Se8'
_symmetry_space_group_name_H-M 'C 1 2/m 1'
_symmetry_Int_Tables_number 12
_cell_length_a 13.133
_cell_length_b 3.538
_cell_length_c 6.859
_cell_angle_alpha 90.00
_cell_angle_beta 114.90
_cell_angle_gamma 90.00
loop_
_symmetry_equiv_pos_as_xyz
'x,y,z'
'-x,-y,-z'
'-x,y,-z'
'x,-y,z'
'x+1/2,y+1/2,z'
'-x+1/2,-y+1/2,-z'
'-x+1/2,y+1/2,-z'
'x+1/2,-y+1/2,z'
loop_
_atom_site_label
_atom_site_fract_x
_atom_site_fract_y
_atom_site_fract_z
V1 0.000 0.000 0.000
In1 0.000 0.500 0.500
Se1 0.123 0.500 0.248
Se2 0.128 0.000 0.813
```

The calculation puts the formation energy without anion corrections at -0.42 eV/atom. The calculation puts the total energy at -4.717 eV per atom. The crystal system is monoclinic.